The following is a DFT calculation (PBE) of an optimized crystal structure of DyThCd4.

The structure in CIF format:
```
data_DyThCd4
_cell_length_a 8.414
_cell_length_b 8.414
_cell_length_c 8.414
_cell_angle_alpha 90.00
_cell_angle_beta 90.00
_cell_angle_gamma 90.00
_symmetry_space_group_name_H-M 'F -4 3 m'
_symmetry_Int_Tables_number 216
_symmetry_space_group_name_Hall 'F -4 2 3'
loop_
_atom_site_label
_atom_site_fract_x
_atom_site_fract_y
_atom_site_fract_z
Dy1 0.000 0.000 0.000
Th1 0.250 0.250 0.750
Cd1 0.125 0.125 0.375
```

Values from the calculation:
DFT total energy, eV for the cell shown: -66.98
DOS at the Fermi energy, states/eV/f.u.: 6.27
Size of the total moment, μB per cell: 0.0